(1)
VASP calculation (PBE) on Os2RhBr after structural relaxation.

- symmetry = No. 123
- magnetic moment (Bohr magnetons per cell) = 0.0
- formation energy without anion corrections (eV/atom) = 1.441

POSCAR file:
```
Os2RhBr
1.0
3.917 0.000 0.000
0.000 3.917 0.000
0.000 0.000 4.033
Os Rh Br
2 1 1
direct
0.000 0.500 0.000 Os
0.500 0.000 0.000 Os
0.000 0.000 0.500 Rh
0.500 0.500 0.500 Br
```

---

(2)
VASP calculation (PBE) on TaHgSe after structural relaxation.

- symmetry = No. 187
- magnetic moment (Bohr magnetons per cell) = 0.0
- formation energy without anion corrections (eV/atom) = 0.212

POSCAR file:
```
TaHgSe
1.0
4.434 0.000 0.000
-2.217 3.840 0.000
0.000 0.000 3.623
Ta Hg Se
1 1 1
direct
0.000 0.000 0.000 Ta
0.667 0.333 0.500 Hg
0.333 0.667 0.000 Se
```

---

(3)
VASP calculation (PBE) on NiPdS after structural relaxation.

- symmetry = No. 107
- magnetic moment (Bohr magnetons per cell) = 0.0
- formation energy without anion corrections (eV/atom) = -0.087

POSCAR file:
```
NiPdS
1.0
-1.544 1.544 4.373
1.544 -1.544 4.373
1.544 1.544 -4.373
Ni Pd S
1 1 1
direct
0.000 0.000 0.000 Ni
0.691 0.691 0.000 Pd
0.417 0.417 0.000 S
```

---

(4)
VASP calculation (PBE) on BeVS2N after structural relaxation.

- symmetry = No. 123
- magnetic moment (Bohr magnetons per cell) = 0.0
- formation energy without anion corrections (eV/atom) = 0.444

POSCAR file:
```
BeVS2N
1.0
4.459 0.000 0.000
0.000 4.459 0.000
0.000 0.000 3.120
Be V S N
1 1 2 1
direct
0.000 0.000 0.000 Be
0.500 0.500 0.500 V
0.000 0.500 0.000 S
0.500 0.000 0.000 S
0.000 0.000 0.500 N
```

---

(5)
VASP calculation (PBE) on LiPmAgF6 after structural relaxation.

- symmetry = No. 149
- magnetic moment (Bohr magnetons per cell) = 1.0
- formation energy without anion corrections (eV/atom) = -2.776

POSCAR file:
```
LiPmAgF6
1.0
5.456 0.000 0.000
-2.728 4.725 0.000
0.000 0.000 5.107
Li Pm Ag F
1 1 1 6
direct
0.000 0.000 0.000 Li
0.333 0.667 0.500 Pm
0.667 0.333 0.000 Ag
0.006 0.318 0.235 F
0.006 0.689 0.765 F
0.311 0.318 0.765 F
0.311 0.994 0.235 F
0.682 0.689 0.235 F
0.682 0.994 0.765 F
```